[1]
SrMg2H7 after structural relaxation, computed with PBE.

POSCAR file:
```
SrMg2H7
1.0
-2.255 2.972 -0.318
-3.819 -3.214 -2.941
-0.383 0.328 5.772
Mg H Sr
2 7 1
direct
0.500 0.708 0.292
0.500 0.292 0.708
0.500 0.500 0.500
0.500 0.073 0.324
0.500 0.676 0.927
0.000 0.263 0.737
0.500 0.927 0.676
0.500 0.324 0.073
0.000 0.737 0.263
0.000 0.000 0.000
```

Properties
- DFT total energy: -2.906 eV per atom



[2]
Te2PdN after structural relaxation, computed with PBE.

POSCAR file:
```
Te2PdN
1.0
1.896 0.000 8.481
-0.948 1.642 8.481
-0.948 -1.642 8.481
Pd N Te
1 1 2
direct
0.000 0.000 0.000
0.500 0.500 0.500
0.897 0.897 0.897
0.103 0.103 0.103
```

Properties
- Raw formation energy: 861 meV/atom
- DFT total energy: -4.089 eV per atom



[3]
CdTc3Cl after structural relaxation, computed with PBE.

POSCAR file:
```
CdTc3Cl
1.0
-4.966 0.926 -1.220
-1.498 -2.072 4.524
0.319 4.675 2.247
Cl Tc Cd
1 3 1
direct
0.500 0.500 0.500
0.000 0.500 0.000
0.500 0.000 0.000
0.000 0.000 0.500
0.000 0.000 0.000
```

Properties
- Raw formation energy: 2379 meV/atom
- DFT total energy: -4.393 eV per atom



[4]
NbHgTe2 after structural relaxation, computed with PBE.

POSCAR file:
```
NbHgTe2
1.0
-3.386 8.759 -10.607
3.615 -4.255 -6.735
-3.435 -7.465 -3.001
Te Hg Nb
16 8 8
direct
0.519 0.877 0.761
0.759 0.171 0.247
0.741 0.747 0.671
0.259 0.253 0.329
0.481 0.123 0.239
0.951 0.359 0.721
0.981 0.261 0.377
0.750 0.289 0.789
0.250 0.401 0.901
0.549 0.221 0.859
0.750 0.599 0.099
0.049 0.641 0.279
0.019 0.739 0.623
0.241 0.829 0.753
0.250 0.711 0.211
0.451 0.779 0.141
0.917 0.915 0.809
0.083 0.085 0.191
0.164 0.127 0.821
0.336 0.321 0.627
0.836 0.873 0.179
0.417 0.691 0.585
0.664 0.679 0.373
0.583 0.309 0.415
0.367 0.495 0.118
0.197 0.686 0.512
0.867 0.382 0.005
0.697 0.988 0.814
0.303 0.012 0.186
0.803 0.314 0.488
0.633 0.505 0.882
0.133 0.618 0.995
```

Properties
- Raw formation energy: 9 meV/atom
- DFT total energy: -4.155 eV per atom



[5]
Nd5Sm4Y after structural relaxation, computed with PBE.

POSCAR file:
```
Nd5Sm4Y
1.0
-3.050 -1.339 -1.501
1.332 -6.482 3.074
-5.512 5.853 10.426
Nd Sm Y
5 4 1
direct
0.500 0.500 0.000
0.900 0.198 0.801
0.700 0.601 0.400
0.300 0.399 0.600
0.100 0.802 0.199
0.900 0.701 0.801
0.700 0.099 0.399
0.300 0.901 0.601
0.100 0.299 0.199
0.500 0.000 0.000
```

Properties
- DFT total energy: -4.905 eV per atom
- Energy relative to the elements: 0.01 eV/atom



[6]
PrCuAg2S4 after structural relaxation, computed with PBE.

POSCAR file:
```
PrCuAg2S4
1.0
3.971 0.000 0.000
-1.985 6.657 0.000
0.000 0.000 12.437
S Ag Pr Cu
8 4 2 2
direct
0.306 0.612 0.129
0.000 0.000 0.500
0.422 0.844 0.750
0.306 0.612 0.371
0.694 0.388 0.871
0.000 0.000 0.000
0.694 0.388 0.629
0.578 0.156 0.250
0.376 0.752 0.946
0.624 0.248 0.054
0.624 0.248 0.446
0.376 0.752 0.554
0.086 0.171 0.750
0.914 0.829 0.250
0.826 0.651 0.750
0.174 0.349 0.250
```

Properties
- Raw formation energy: -596 meV/atom
- DFT total energy: -4.482 eV per atom